# 1
PBE-GGA KReOs, optimized geometry; excess energy over the best structure of this formula in the dataset = 24.2 meV/atom; symmetry = P3m1, No. 156; Fermi-level density of states = 1.88 states/eV/cell; crystal system = trigonal
1.0
2.8194 0.0000 0.0000
-1.4097 2.4417 0.0000
0.0000 0.0000 8.1249
K Re Os
1 1 1
Direct
0.0000 0.0000 0.0000
0.3333 0.6667 0.6191
0.6667 0.3333 0.3690

=====

# 2
PBE-GGA K2ReOs, optimized geometry; excess energy over the best structure of this formula in the dataset = 1110.7 meV/atom; symmetry = F-43m, No. 216; Fermi-level density of states = 2.95 states/eV/cell; crystal system = cubic
1.0
0.0000 3.4366 3.4366
3.4366 0.0000 3.4366
3.4366 3.4366 0.0000
K Re Os
2 1 1
Direct
0.0000 0.0000 0.0000
0.2500 0.2500 0.2500
0.7500 0.7500 0.7500
0.5000 0.5000 0.5000

=====

# 3
PBE-GGA K2ReOs, optimized geometry; excess energy over the best structure of this formula in the dataset = 626.3 meV/atom; symmetry = P4/mmm, No. 123; Fermi-level density of states = 2.31 states/eV/cell; crystal system = tetragonal
1.0
3.7560 0.0000 0.0000
0.0000 3.7560 0.0000
0.0000 0.0000 5.7958
K Re Os
2 1 1
Direct
0.0000 0.5000 0.0000
0.5000 0.0000 0.0000
0.0000 0.0000 0.5000
0.5000 0.5000 0.5000

=====

# 4
PBE-GGA KRe2Os, optimized geometry; excess energy over the best structure of this formula in the dataset = 288.7 meV/atom; symmetry = C2/m, No. 12; Fermi-level density of states = 3.97 states/eV/cell; crystal system = monoclinic
1.0
4.6983 -1.3772 0.0000
4.6983 1.3772 0.0000
-0.7306 0.0000 6.6962
K Re Os
1 2 1
Direct
0.0000 0.0000 0.0000
0.2196 0.2196 0.6472
0.7804 0.7804 0.3528
0.5000 0.5000 0.5000

=====

# 5
PBE-GGA K2Re2Os, optimized geometry; excess energy over the best structure of this formula in the dataset = 0.0 meV/atom; symmetry = P4/mbm, No. 127; Fermi-level density of states = 8.92 states/eV/cell; crystal system = tetragonal
1.0
6.3355 0.0000 0.0000
0.0000 6.3355 0.0000
0.0000 0.0000 6.0145
K Re Os
4 4 2
Direct
0.1849 0.3151 0.0000
0.3151 0.8151 0.0000
0.6849 0.1849 0.0000
0.8151 0.6849 0.0000
0.1320 0.6320 0.5000
0.3680 0.1320 0.5000
0.6320 0.8680 0.5000
0.8680 0.3680 0.5000
0.0000 0.0000 0.5000
0.5000 0.5000 0.5000

=====

# 6
PBE-GGA KReOs, optimized geometry; excess energy over the best structure of this formula in the dataset = 0.0 meV/atom; symmetry = Imm2, No. 44; Fermi-level density of states = 2.91 states/eV/cell; crystal system = orthorhombic
1.0
-1.3655 1.9811 6.3280
1.3655 -1.9811 6.3280
1.3655 1.9811 -6.3280
K Re Os
1 1 1
Direct
0.0000 0.0000 0.0000
0.2828 0.2828 0.0000
0.7128 0.7128 0.0000

=====

# 7
PBE-GGA K2ReOs, optimized geometry; excess energy over the best structure of this formula in the dataset = 78.7 meV/atom; symmetry = P4mm, No. 99; Fermi-level density of states = 4.71 states/eV/cell; crystal system = tetragonal
1.0
3.2462 0.0000 0.0000
0.0000 3.2462 0.0000
0.0000 0.0000 10.8034
K Re Os
2 1 1
Direct
0.0000 0.0000 0.0000
0.5000 0.5000 0.4091
0.5000 0.5000 0.7513
0.0000 0.0000 0.6524

=====

# 8
PBE-GGA KReOs, optimized geometry; excess energy over the best structure of this formula in the dataset = 71.9 meV/atom; symmetry = I4mm, No. 107; Fermi-level density of states = 3.91 states/eV/cell; crystal system = tetragonal
1.0
-1.5128 1.5128 7.2637
1.5128 -1.5128 7.2637
1.5128 1.5128 -7.2637
K Re Os
1 1 1
Direct
0.0000 0.0000 0.0000
0.2886 0.2886 0.0000
0.6975 0.6975 0.0000

=====

# 9
PBE-GGA K2ReOs, optimized geometry; excess energy over the best structure of this formula in the dataset = 87.2 meV/atom; symmetry = Cm, No. 8; Fermi-level density of states = 2.97 states/eV/cell; crystal system = monoclinic
1.0
4.0885 -1.5107 0.0000
4.0885 1.5107 0.0000
-0.3917 0.0000 9.9990
K Re Os
2 1 1
Direct
0.0000 0.0000 0.0000
0.2287 0.2287 0.5705
0.7545 0.7545 0.2487
0.4785 0.4785 0.3252

=====

# 10
PBE-GGA K2ReOs, optimized geometry; excess energy over the best structure of this formula in the dataset = 620.1 meV/atom; symmetry = I4/mmm, No. 139; Fermi-level density of states = 1.97 states/eV/cell; crystal system = tetragonal
1.0
-1.8746 1.8746 5.8040
1.8746 -1.8746 5.8040
1.8746 1.8746 -5.8040
K Re Os
2 1 1
Direct
0.2500 0.7500 0.5000
0.7500 0.2500 0.5000
0.0000 0.0000 0.0000
0.5000 0.5000 0.0000

=====

# 11
PBE-GGA KRe2Os, optimized geometry; excess energy over the best structure of this formula in the dataset = 95.5 meV/atom; symmetry = Pmm2, No. 25; Fermi-level density of states = 2.59 states/eV/cell; crystal system = orthorhombic
1.0
2.7117 0.0000 0.0000
0.0000 3.8115 0.0000
0.0000 0.0000 8.1910
K Re Os
1 2 1
Direct
0.0000 0.0000 0.0000
0.0000 0.0000 0.4834
0.5000 0.5000 0.6518
0.5000 0.5000 0.3345

=====

# 12
PBE-GGA K2ReOs, optimized geometry; excess energy over the best structure of this formula in the dataset = 7.2 meV/atom; symmetry = Pmm2, No. 25; Fermi-level density of states = 3.25 states/eV/cell; crystal system = orthorhombic
1.0
2.8156 0.0000 0.0000
0.0000 4.0305 0.0000
0.0000 0.0000 10.3300
K Re Os
2 1 1
Direct
0.0000 0.0000 0.0000
0.5000 0.5000 0.4276
0.5000 0.5000 0.7503
0.0000 0.0000 0.6738

=====

# 13
PBE-GGA KReOs3, optimized geometry; excess energy over the best structure of this formula in the dataset = 2041.9 meV/atom; symmetry = Pm-3m, No. 221; Fermi-level density of states = 10.72 states/eV/cell; crystal system = cubic
1.0
4.4445 0.0000 0.0000
0.0000 4.4445 0.0000
0.0000 0.0000 4.4445
K Re Os
1 1 3
Direct
0.0000 0.0000 0.0000
0.5000 0.5000 0.5000
0.0000 0.0000 0.5000
0.0000 0.5000 0.0000
0.5000 0.0000 0.0000

=====

# 14
PBE-GGA K2ReOs, optimized geometry; excess energy over the best structure of this formula in the dataset = 650.0 meV/atom; symmetry = Cmmm, No. 65; Fermi-level density of states = 2.78 states/eV/cell; crystal system = orthorhombic
1.0
2.6303 -5.7939 0.0000
2.6303 5.7939 0.0000
0.0000 0.0000 2.6746
K Re Os
2 1 1
Direct
0.0000 0.5000 0.0000
0.5000 0.0000 0.0000
0.0000 0.0000 0.5000
0.5000 0.5000 0.5000

=====

# 15
PBE-GGA KRe2Os, optimized geometry; excess energy over the best structure of this formula in the dataset = 1002.4 meV/atom; symmetry = P4/mmm, No. 123; Fermi-level density of states = 6.42 states/eV/cell; crystal system = tetragonal
1.0
4.9261 0.0000 0.0000
0.0000 4.9261 0.0000
0.0000 0.0000 2.7720
K Re Os
1 2 1
Direct
0.0000 0.0000 0.0000
0.0000 0.5000 0.5000
0.5000 0.0000 0.5000
0.5000 0.5000 0.0000

=====

# 16
PBE-GGA KReOs2, optimized geometry; excess energy over the best structure of this formula in the dataset = 297.9 meV/atom; symmetry = C2/m, No. 12; Fermi-level density of states = 4.52 states/eV/cell; crystal system = monoclinic
1.0
4.5718 -1.3949 0.0000
4.5718 1.3949 0.0000
-0.8663 0.0000 6.8948
K Re Os
1 1 2
Direct
0.0000 0.0000 0.0000
0.5000 0.5000 0.5000
0.2218 0.2218 0.6424
0.7782 0.7782 0.3576

=====

# 17
PBE-GGA KReOs2, optimized geometry; excess energy over the best structure of this formula in the dataset = 166.2 meV/atom; symmetry = P2/m, No. 10; Fermi-level density of states = 3.07 states/eV/cell; crystal system = monoclinic
1.0
2.7155 0.0000 0.0000
0.0000 3.8422 0.0000
-0.0538 0.0000 7.9575
K Re Os
1 1 2
Direct
0.0000 0.0000 0.0000
0.0000 0.0000 0.5000
0.4967 0.5000 0.3406
0.5033 0.5000 0.6594

=====

# 18
PBE-GGA KRe2Os, optimized geometry; excess energy over the best structure of this formula in the dataset = 146.0 meV/atom; symmetry = Pmmm, No. 47; Fermi-level density of states = 4.26 states/eV/cell; crystal system = orthorhombic
1.0
2.7039 0.0000 0.0000
0.0000 3.8048 0.0000
0.0000 0.0000 8.3065
K Re Os
1 2 1
Direct
0.0000 0.0000 0.0000
0.5000 0.5000 0.3441
0.5000 0.5000 0.6559
0.0000 0.0000 0.5000

=====

# 19
PBE-GGA KReOs2, optimized geometry; excess energy over the best structure of this formula in the dataset = 0.0 meV/atom; symmetry = R-3m, No. 166; Fermi-level density of states = 4.16 states/eV/cell; crystal system = trigonal
1.0
1.3971 0.8066 10.2480
-1.3971 0.8066 10.2480
0.0000 -1.6133 10.2480
K Re Os
1 1 2
Direct
0.0000 0.0000 0.0000
0.5000 0.5000 0.5000
0.2361 0.2361 0.2361
0.7639 0.7639 0.7639

=====

# 20
PBE-GGA KReOs2, optimized geometry; excess energy over the best structure of this formula in the dataset = 939.0 meV/atom; symmetry = P4/mmm, No. 123; Fermi-level density of states = 4.13 states/eV/cell; crystal system = tetragonal
1.0
5.0460 0.0000 0.0000
0.0000 5.0460 0.0000
0.0000 0.0000 2.6783
K Re Os
1 1 2
Direct
0.0000 0.0000 0.0000
0.5000 0.5000 0.0000
0.0000 0.5000 0.5000
0.5000 0.0000 0.5000